Ga2BN, relaxed, DFT PBE; excess energy over the best structure of this formula in the dataset = 108 meV per atom; formation energy from raw total energies = -0.34 eV per atom
1.0
2.5769 -0.0134 0.0007
-1.1707 5.2894 0.1095
-0.0583 -2.5000 9.9885
B Ga N
2 4 2
direct
0.1296 0.7876 0.9270 B
0.5788 0.6860 0.7101 B
0.5280 0.5876 0.4975 Ga
0.9673 0.4452 0.2543 Ga
0.2480 0.0512 0.4411 Ga
0.6906 0.9086 0.1869 Ga
0.0944 0.7171 0.7779 N
0.6454 0.8192 0.9935 N

***

Ga2BN, relaxed, DFT PBE; excess energy over the best structure of this formula in the dataset = 153 meV per atom; formation energy from raw total energies = -0.29 eV per atom
1.0
-2.1060 0.4765 -1.4097
1.5926 -5.9726 -3.0339
-3.3378 -1.7056 5.7878
B Ga N
2 4 2
direct
0.2712 0.2560 0.2026 B
0.6187 0.9904 0.9378 B
0.8941 0.3194 0.5949 Ga
0.5121 0.6479 0.8709 Ga
0.8933 0.6489 0.2661 Ga
0.5117 0.9242 0.5952 Ga
0.1708 0.0790 0.0261 N
0.8226 0.3458 0.2921 N

***

Ga2BN, relaxed, DFT PBE; excess energy over the best structure of this formula in the dataset = 782 meV per atom; formation energy from raw total energies = 0.34 eV per atom
1.0
4.9458 0.0000 0.0000
0.0000 4.9458 0.0000
2.4729 2.4729 4.3720
B Ga N
2 4 2
direct
0.5000 0.5000 0.0000 B
0.2500 0.7500 0.5000 B
0.6531 0.1250 0.2500 Ga
0.0969 0.6250 0.2500 Ga
0.3750 0.3469 0.7500 Ga
0.8750 0.9031 0.7500 Ga
0.0000 0.0000 0.0000 N
0.7500 0.2500 0.5000 N

***

GaBN3, relaxed, DFT PBE; formation energy from raw total energies = 2.66 eV per atom
1.0
-0.0910 -1.8071 -3.4843
3.5741 -1.4787 0.6736
-1.6224 -3.1563 1.6794
B Ga N
1 1 3
direct
0.5000 0.5000 0.5000 B
0.0000 0.0000 0.0000 Ga
0.0000 0.5000 0.0000 N
0.0000 0.0000 0.5000 N
0.5000 0.0000 0.0000 N

***

Ga2BN, relaxed, DFT PBE; excess energy over the best structure of this formula in the dataset = 1782 meV per atom; formation energy from raw total energies = 1.34 eV per atom
1.0
-3.4208 -1.5374 -1.5018
-3.5712 1.4041 1.2633
-2.2918 2.2157 -2.4818
B Ga N
1 2 1
direct
0.0000 0.0000 0.0000 B
0.2500 0.2500 0.2500 Ga
0.7500 0.7500 0.7500 Ga
0.5000 0.5000 0.5000 N

***

GaB2N3, relaxed, DFT PBE; formation energy from raw total energies = -0.67 eV per atom
1.0
-2.5924 -1.8537 -3.8525
3.5314 -2.6426 2.3545
-7.8911 -4.1198 7.2617
Ga B N
4 8 12
direct
0.9157 0.8352 0.1117 Ga
0.1648 0.0843 0.3883 Ga
0.0843 0.1648 0.8883 Ga
0.8352 0.9157 0.6117 Ga
0.8176 0.3660 0.4499 B
0.6340 0.1824 0.0501 B
0.1824 0.6340 0.5501 B
0.3660 0.8176 0.9499 B
0.0558 0.4136 0.2086 B
0.5864 0.9442 0.2914 B
0.9442 0.5864 0.7914 B
0.4136 0.0558 0.7086 B
0.3274 0.6726 0.2500 N
0.6726 0.3274 0.7500 N
0.8377 0.4269 0.1255 N
0.5731 0.1623 0.3745 N
0.1623 0.5731 0.8745 N
0.4269 0.8377 0.6255 N
0.9385 0.6896 0.4965 N
0.3104 0.0615 0.0035 N
0.0615 0.3104 0.5035 N
0.6896 0.9385 0.9965 N
0.9301 0.0699 0.2500 N
0.0699 0.9301 0.7500 N

***

GaB2N, relaxed, DFT PBE; excess energy over the best structure of this formula in the dataset = 1887 meV per atom; formation energy from raw total energies = 2.21 eV per atom
1.0
-0.9200 -0.0049 3.6970
-3.0772 1.8989 1.1998
-3.0712 -1.9108 1.1962
B Ga N
2 1 1
direct
0.2500 0.2500 0.2500 B
0.7500 0.7500 0.7500 B
0.5000 0.5000 0.5000 Ga
0.0000 0.0000 0.0000 N

***

GaBN2O, relaxed, DFT PBE; formation energy from raw total energies = 0.43 eV per atom
1.0
3.0186 0.0000 0.0000
0.0000 3.0186 0.0000
0.0000 0.0000 5.7730
B O Ga N
1 1 1 2
direct
0.0000 0.0000 0.0000 B
0.0000 0.0000 0.5000 O
0.5000 0.5000 0.5000 Ga
0.0000 0.5000 0.0000 N
0.5000 0.0000 0.0000 N

***

Ga2BNO, relaxed, DFT PBE; excess energy over the best structure of this formula in the dataset = 0 meV per atom; formation energy from raw total energies = 0.21 eV per atom
1.0
5.0952 0.0000 0.0000
0.0000 2.6635 0.0000
0.0000 0.0000 5.0952
B O Ga N
1 1 2 1
direct
0.0000 0.5000 0.0000 B
0.5000 0.5000 0.5000 O
0.0000 0.0000 0.5000 Ga
0.5000 0.0000 0.0000 Ga
0.0000 0.0000 0.0000 N

***

GaBNO2, relaxed, DFT PBE; formation energy from raw total energies = 0.02 eV per atom
1.0
3.8578 0.0000 0.0000
0.0000 3.8578 0.0000
0.0000 0.0000 2.8663
B O Ga N
1 2 1 1
direct
0.0000 0.0000 0.0000 B
0.0000 0.5000 0.0000 O
0.5000 0.0000 0.0000 O
0.5000 0.5000 0.5000 Ga
0.0000 0.0000 0.5000 N

***

GaBN2O, relaxed, DFT PBE; formation energy from raw total energies = 1.89 eV per atom
1.0
3.9931 0.0000 0.0000
0.0000 3.9931 0.0000
0.0000 0.0000 3.8553
B O Ga N
1 1 1 2
direct
0.5000 0.5000 0.5000 B
0.0000 0.0000 0.5000 O
0.0000 0.0000 0.0000 Ga
0.0000 0.5000 0.0000 N
0.5000 0.0000 0.0000 N

***

GaBNO2, relaxed, DFT PBE; formation energy from raw total energies = 1.15 eV per atom
1.0
-1.7678 3.3881 0.5628
-3.4004 -1.6376 -0.8228
-0.4976 -0.8981 3.8437
B O Ga N
1 2 1 1
direct
0.5000 0.5000 0.5000 B
0.0000 0.5000 0.0000 O
0.5000 0.0000 0.0000 O
0.0000 0.0000 0.0000 Ga
0.0000 0.0000 0.5000 N

***

Ga2BNO, relaxed, DFT PBE; excess energy over the best structure of this formula in the dataset = 425 meV per atom; formation energy from raw total energies = 0.64 eV per atom
1.0
-2.7445 -3.3792 -0.9874
0.9025 -1.4448 2.4359
-3.2492 1.9493 2.3600
B O Ga N
1 1 2 1
direct
0.0000 0.0000 0.0000 B
0.0000 0.5000 0.0000 O
0.0000 0.0000 0.5000 Ga
0.5000 0.0000 0.0000 Ga
0.5000 0.5000 0.5000 N

***

GaBOsN2, relaxed, DFT PBE; formation energy from raw total energies = 1.25 eV per atom
1.0
3.7143 0.0000 0.0000
0.0000 5.5013 0.0000
0.0000 0.0000 3.7143
B Os Ga N
1 1 1 2
direct
0.5000 0.5000 0.5000 B
0.0000 0.0000 0.0000 Os
0.0000 0.5000 0.0000 Ga
0.0000 0.0000 0.5000 N
0.5000 0.0000 0.0000 N

***

GaBSe2N, relaxed, DFT PBE; excess energy over the best structure of this formula in the dataset = 0 meV per atom; formation energy from raw total energies = 0.05 eV per atom
1.0
6.2371 0.0000 0.0000
0.0000 6.2371 0.0000
0.0000 0.0000 2.6160
B Ga Se N
1 1 2 1
direct
0.0000 0.0000 0.0000 B
0.5000 0.5000 0.5000 Ga
0.0000 0.5000 0.0000 Se
0.5000 0.0000 0.0000 Se
0.0000 0.0000 0.5000 N

***

GaBSe2N, relaxed, DFT PBE; excess energy over the best structure of this formula in the dataset = 1458 meV per atom; formation energy from raw total energies = 1.51 eV per atom
1.0
5.2017 0.0000 0.0000
0.0000 5.2017 0.0000
0.0000 0.0000 3.6200
B Ga Se N
1 1 2 1
direct
0.5000 0.5000 0.5000 B
0.0000 0.0000 0.0000 Ga
0.0000 0.5000 0.0000 Se
0.5000 0.0000 0.0000 Se
0.0000 0.0000 0.5000 N

***

TaGa2BN, relaxed, DFT PBE; formation energy from raw total energies = 0.14 eV per atom
1.0
-4.9122 -1.8041 -0.4621
-0.0236 -0.6012 2.5984
-1.8618 4.7897 1.0913
B N Ga Ta
1 1 2 1
direct
0.0000 0.5000 0.0000 B
0.0000 0.0000 0.0000 N
0.0000 0.0000 0.5000 Ga
0.5000 0.0000 0.0000 Ga
0.5000 0.5000 0.5000 Ta

***

NaGa3B, relaxed, DFT PBE; energy of formation from the pure elements = 0.377 eV/atom; excess energy over the best structure of this formula in the dataset = 0 meV per atom
1.0
-4.0563 -1.4328 -1.4440
0.1775 -3.4582 2.9327
-2.0265 2.5650 3.1473
Na B Ga
1 1 3
direct
0.5000 0.5000 0.5000 Na
0.0000 0.0000 0.0000 B
0.0000 0.5000 0.0000 Ga
0.0000 0.0000 0.5000 Ga
0.5000 0.0000 0.0000 Ga

***

Na2GaB, relaxed, DFT PBE; energy of formation from the pure elements = 0.869 eV/atom; excess energy over the best structure of this formula in the dataset = 0 meV per atom
1.0
0.0000 3.3606 3.3606
3.3606 0.0000 3.3606
3.3606 3.3606 0.0000
Na B Ga
2 1 1
direct
0.2500 0.2500 0.2500 Na
0.7500 0.7500 0.7500 Na
0.0000 0.0000 0.0000 B
0.5000 0.5000 0.5000 Ga

***

Na3GaB, relaxed, DFT PBE; energy of formation from the pure elements = 0.771 eV/atom; excess energy over the best structure of this formula in the dataset = 0 meV per atom
1.0
5.1224 0.0000 0.0000
0.0000 5.1224 0.0000
0.0000 0.0000 5.1224
Na B Ga
3 1 1
direct
0.0000 0.5000 0.0000 Na
0.0000 0.0000 0.5000 Na
0.5000 0.0000 0.0000 Na
0.0000 0.0000 0.0000 B
0.5000 0.5000 0.5000 Ga

***

Number 1: raw total energy -5.6031 eV per atom. Number 2: raw total energy -5.5581 eV per atom. Number 3: raw total energy -4.9282 eV per atom. Number 4: raw total energy -4.2781 eV per atom. Number 5: raw total energy -3.9285 eV per atom. Number 6: raw total energy -7.5597 eV per atom. Number 7: raw total energy -3.9654 eV per atom. Number 8: raw total energy -5.8366 eV per atom. Number 9: raw total energy -4.9931 eV per atom. Number 10: raw total energy -5.5664 eV per atom. Number 11: raw total energy -4.3677 eV per atom. Number 12: raw total energy -4.4400 eV per atom. Number 13: raw total energy -4.5679 eV per atom. Number 14: raw total energy -6.2691 eV per atom. Number 15: raw total energy -4.9516 eV per atom. Number 16: raw total energy -3.4936 eV per atom. Number 17: raw total energy -6.4467 eV per atom. Number 18: raw total energy -3.0384 eV per atom. Number 19: raw total energy -2.2162 eV per atom. Number 20: raw total energy -1.9608 eV per atom.